DFT (GGA-PBE) results for a relaxed structure of Ce5Ge5Pt2.

Cell: 4.226 7.902 8.794 Å, 83.36 76.10 74.49°
Last column: magnetic moment on the atom in μB.
Sites, in units of the cell vectors:
Ce 0.000 0.500 0.500  0.22
Ce 0.698 0.707 0.897  0.33
Ce 0.377 0.952 0.294  0.47
Ce 0.623 0.048 0.706  0.47
Ce 0.302 0.293 0.103  0.33
Ge 0.695 0.226 0.383  -0.02
Ge 0.935 0.299 0.830  -0.02
Ge 0.065 0.701 0.170  -0.02
Ge 0.305 0.774 0.617  -0.02
Ge 0.000 0.000 0.000  -0.02
Pt 0.387 0.467 0.759  -0.02
Pt 0.613 0.533 0.241  -0.02

Calculated values
Crystal system: monoclinic
ΔE_f (eV per atom): -0.855
Space-group type: C2/m

=====

DFT (GGA-PBE) results for a relaxed structure of Ce2GePt.

Cell: 3.801 3.801 6.206 Å, 90.00 90.00 90.00°
Last column: magnetic moment on the atom in μB.
Sites, in units of the cell vectors:
Ge 0.500 0.500 0.500  -0.02
Ce 0.000 0.000 0.740  0.56
Ce 0.000 0.000 0.260  0.56
Pt 0.500 0.500 0.000  -0.01

Calculated values
Crystal system: tetragonal
ΔE_f (eV per atom): -0.804
Space-group type: P4/mmm

=====

DFT (GGA-PBE) results for a relaxed structure of Ce4GePt.

Cell: 5.240 6.132 10.539 Å, 90.00 104.39 90.00°
Last column: magnetic moment on the atom in μB.
Sites, in units of the cell vectors:
Ce 0.896 0.322 0.791  0.64
Ce 0.104 0.822 0.209  0.64
Ce 0.441 0.822 0.882  0.86
Ce 0.559 0.322 0.118  0.86
Ce 0.716 0.549 0.431  0.53
Ce 0.284 0.049 0.569  0.53
Ce 0.716 0.095 0.431  0.53
Ce 0.284 0.595 0.569  0.53
Ge 0.847 0.822 0.694  -0.02
Ge 0.153 0.322 0.306  -0.02
Pt 0.584 0.822 0.168  -0.02
Pt 0.416 0.322 0.832  -0.02

Calculated values
Crystal system: orthorhombic
ΔE_f (eV per atom): -0.530
Energy above the most stable polymorph in this dataset (meV per atom): 41
Space-group type: Cmcm

=====

DFT (GGA-PBE) results for a relaxed structure of CeGe2Pt4.

Cell: 4.114 7.501 16.449 Å, 90.00 90.00 90.00°
Sites, in units of the cell vectors:
Ge 0.250 0.747 0.515
Ge 0.750 0.253 0.485
Ge 0.750 0.247 0.985
Ge 0.250 0.753 0.015
Ge 0.250 0.885 0.816
Ge 0.750 0.115 0.184
Ge 0.750 0.385 0.684
Ge 0.250 0.615 0.316
Pt 0.250 0.182 0.712
Pt 0.750 0.818 0.288
Pt 0.750 0.682 0.788
Pt 0.250 0.318 0.212
Pt 0.250 0.615 0.672
Pt 0.750 0.385 0.328
Pt 0.750 0.115 0.828
Pt 0.250 0.885 0.172
Pt 0.250 0.089 0.544
Pt 0.750 0.911 0.456
Pt 0.750 0.589 0.956
Pt 0.250 0.411 0.044
Pt 0.250 0.434 0.447
Pt 0.750 0.566 0.553
Pt 0.750 0.934 0.053
Pt 0.250 0.066 0.947
Ce 0.750 0.928 0.651
Ce 0.250 0.072 0.349
Ce 0.250 0.428 0.849
Ce 0.750 0.572 0.151

Calculated values
Crystal system: orthorhombic
ΔE_f (eV per atom): -0.698
Space-group type: Pnma